Record 1
Below is a geometry-optimized La12Ho5Tm2 structure, with properties calculated at the PBE-GGA level.

The volume is 1320.1 Å³/cell. As for the crystal system: monoclinic. The calculation puts the formation energy at 0.155 eV per atom. The magnetization comes out at 0.0 μB/cell.

The structure belongs to space group C2/m (No. 12); the cell edges are 19.433, 7.613 and 10.059 Å and the angles 90.00°, 117.50° and 90.00°. The inequivalent atoms are La at (0.001, 0.000, 0.296), La at (0.015, 0.500, 0.848), La at (0.160, 0.249, 0.345), La at (0.164, 0.231, 0.993), Ho at (0.000, 0.000, 0.000), Ho at (0.173, 0.000, 0.667), Ho at (0.177, 0.500, 0.690) and Tm at (0.000, 0.301, 0.500).



Record 2
Below is a geometry-optimized FeRe2Au structure, with properties calculated at the PBE-GGA level.

The volume is 59.4 Å³/cell. As for the crystal system: monoclinic. The energy relative to the lowest polymorph listed for this composition is 117 meV per atom. The calculation puts the formation energy at 0.336 eV per atom. The magnetization comes out at 1.5 μB/cell.

The structure belongs to space group P2/m (No. 10); the cell edges are 2.752, 3.862 and 5.587 Å and the angles 90.00°, 90.08° and 90.00°. The inequivalent atoms are Fe at (0.000, 0.000, 0.000), Re at (0.498, 0.500, 0.215) and Au at (0.000, 0.000, 0.500).



Record 3
Below is a geometry-optimized DyEr5Sc4 structure, with properties calculated at the PBE-GGA level.

The volume is 581.7 Å³/cell. As for the crystal system: tetragonal. The energy relative to the lowest polymorph listed for this composition is 182 meV per atom. The calculation puts the formation energy at 0.339 eV per atom. The magnetization comes out at 0.1 μB/cell.

The structure belongs to space group I4 (No. 79); the cell edges are 9.759, 9.759 and 6.108 Å and the angles 90.00°, 90.00° and 90.00°. The inequivalent atoms are Dy at (0.000, 0.000, 0.000), Er at (0.000, 0.000, 0.543), Er at (0.146, 0.244, 0.272) and Sc at (0.056, 0.357, 0.771).



Record 4
Below is a geometry-optimized Ca3Si2SbPd9 structure, with properties calculated at the PBE-GGA level.

The volume is 320.0 Å³/cell. As for the crystal system: trigonal. For the electronic total energy, the calculation gives -76.624 eV per cell. The magnetization comes out at 0.0 μB/cell.

The structure belongs to space group P-3m1 (No. 164); the cell edges are 6.3805, 6.3805 and 9.0769 Å and the angles 90.00°, 90.00° and 120.00°. The inequivalent atoms are Ca at (0.0000, 0.0000, 0.0000), Ca at (0.3333, 0.6667, 0.7057), Si at (0.3333, 0.6667, 0.1643), Sb at (0.0000, 0.0000, 0.5000), Pd at (0.0000, 0.5000, 0.0000) and Pd at (0.1473, 0.2947, 0.2705).



Record 5
Below is a geometry-optimized Rh2WAu2 structure, with properties calculated at the PBE-GGA level.

The volume is 172.2 Å³/cell. As for the crystal system: tetragonal. The energy relative to the lowest polymorph listed for this composition is 0 meV per atom. The calculation puts the formation energy at 0.423 eV per atom. The magnetization comes out at 0.3 μB/cell.

The structure belongs to space group P4/mbm (No. 127); the cell edges are 6.483, 6.483 and 4.096 Å and the angles 90.00°, 90.00° and 90.00°. The inequivalent atoms are Rh at (0.139, 0.361, 0.000), W at (0.000, 0.000, 0.000) and Au at (0.164, 0.664, 0.500).



Record 6
Below is a geometry-optimized NaMgTl3 structure, with properties calculated at the PBE-GGA level.

The volume is 174.1 Å³/cell. As for the crystal system: cubic. The energy relative to the lowest polymorph listed for this composition is 199 meV per atom. The calculation puts the formation energy at 0.141 eV per atom. The magnetization comes out at 0.0 μB/cell.

The structure belongs to space group Pm-3m (No. 221); the cell edges are 5.584, 5.584 and 5.584 Å and the angles 90.00°, 90.00° and 90.00°. The inequivalent atoms are Na at (0.000, 0.000, 0.000), Mg at (0.500, 0.500, 0.500) and Tl at (0.000, 0.500, 0.500).



Record 7
Below is a geometry-optimized LiFeSi2 structure, with properties calculated at the PBE-GGA level.

The volume is 180.2 Å³/cell. As for the crystal system: cubic. The energy relative to the lowest polymorph listed for this composition is 393 meV per atom. The magnetization comes out at 0.0 μB/cell.

The structure belongs to space group F-43m (No. 216); the cell edges are 5.648, 5.648 and 5.648 Å and the angles 90.00°, 90.00° and 90.00°. The inequivalent atoms are Li at (0.000, 0.000, 0.000), Fe at (0.250, 0.250, 0.250), Si at (0.000, 0.000, 0.500) and Si at (0.250, 0.250, 0.750).



Record 8
Below is a geometry-optimized Ce8Ge4As3 structure, with properties calculated at the PBE-GGA level.

The volume is 846.7 Å³/cell. As for the crystal system: monoclinic. The calculation puts the formation energy at -0.874 eV per atom. The magnetization comes out at 12.1 μB/cell.

The structure belongs to space group C2/m (No. 12); the cell edges are 11.909, 11.920 and 8.409 Å and the angles 90.00°, 134.82° and 90.00°. The inequivalent atoms are Ce at (0.000, 0.248, 0.000), Ce at (0.000, 0.249, 0.500), Ce at (0.247, 0.000, 0.494), Ce at (0.248, 0.000, 0.999), Ge at (0.000, 0.000, 0.000), Ge at (0.000, 0.500, 0.500), Ge at (0.250, 0.250, 0.000), As at (0.000, 0.000, 0.500) and As at (0.250, 0.250, 0.500).